KScGa4Pt2 PBE optimized geometry; VASP energy = -35.74 eV/f.u.
1.0
6.9369 0.0000 0.0000
0.0000 4.3207 0.0000
0.0000 0.0000 10.0905
K Sc Ga Pt
2 2 8 4
Direct
0.0000 0.0000 0.0000
0.0000 0.5000 0.5000
0.5000 0.0000 0.8408
0.5000 0.5000 0.3408
0.2049 0.0000 0.2868
0.2049 0.5000 0.7868
0.3097 0.0000 0.5601
0.3097 0.5000 0.0601
0.6903 0.0000 0.5601
0.6903 0.5000 0.0601
0.7951 0.0000 0.2868
0.7951 0.5000 0.7868
0.0000 0.0000 0.7176
0.0000 0.5000 0.2176
0.5000 0.0000 0.1276
0.5000 0.5000 0.6276